Compound: VCo3Ni3
Source: Alexandria via LeMat-Bulk
Functional: PBE-GGA
Structure: optimized geometry

Cell: 4.0415 6.6595 6.6595 Å, 120.00 90.00 90.00°
Site moments in Bohr magnetons follow the coordinates.
Sites, in units of the cell vectors:
V  0.7500  0.3333  0.6667  -0.48
V  0.2500  0.6667  0.3333  -0.48
Ni  0.2500  0.0913  0.6204  0.32
Ni  0.2500  0.5291  0.9087  0.32
Ni  0.2500  0.3796  0.4709  0.32
Ni  0.7500  0.4709  0.0913  0.32
Ni  0.7500  0.6204  0.5291  0.32
Ni  0.7500  0.9087  0.3796  0.32
Co  0.2500  0.2340  0.0446  1.53
Co  0.2500  0.8106  0.7660  1.53
Co  0.7500  0.0446  0.8106  1.53
Co  0.7500  0.1894  0.2340  1.53
Co  0.2500  0.9554  0.1894  1.53
Co  0.7500  0.7660  0.9554  1.53

Output
Total moment   9.71 μB/cell
DFT total energy   -96.96 eV/cell
ΔH_f (0 K)   -68 kJ/mol of formula units

Compound: VCo5Ni2
Source: Alexandria via LeMat-Bulk
Functional: PBE-GGA
Structure: optimized geometry

Cell: 2.4583 7.8024 6.2084 Å, 128.93 101.42 90.00°
Site moments in Bohr magnetons follow the coordinates.
Sites, in units of the cell vectors:
Co  0.6298  0.8590  0.2596  1.52
Co  0.3702  0.5994  0.7404  1.52
Co  0.0000  0.5000  0.0000  1.50
Co  0.3702  0.1410  0.7404  1.52
Co  0.6298  0.4006  0.2596  1.52
Ni  0.7422  0.2422  0.4845  0.55
Ni  0.2578  0.7578  0.5155  0.55
V  0.0000  0.0000  0.0000  -0.51

Output
Total moment   7.91 μB/cell
DFT total energy   -56.04 eV/cell
ΔH_f (0 K)   16 kJ/mol of formula units

Compound: V2CoNi
Source: Alexandria via LeMat-Bulk
Functional: PBE-GGA
Structure: optimized geometry

Cell: 4.1064 4.1064 4.1064 Å, 60.00 60.00 60.00°
Site moments in Bohr magnetons follow the coordinates.
Sites, in units of the cell vectors:
Co  0.0000  0.0000  0.0000  1.10
V  0.7500  0.7500  0.7500  0.63
V  0.2500  0.2500  0.2500  0.63
Ni  0.5000  0.5000  0.5000  0.27

Output
Total moment   2.73 μB/cell
DFT total energy   -31.17 eV/cell
ΔH_f (0 K)   -5 kJ/mol of formula units

Compound: VCoNi2
Source: Alexandria via LeMat-Bulk
Functional: PBE-GGA
Structure: optimized geometry

Cell: 3.0336 3.0336 5.0186 Å, 90.00 90.00 90.00°
Site moments in Bohr magnetons follow the coordinates.
Sites, in units of the cell vectors:
Co  0.5000  0.5000  0.0000  1.38
Ni  0.0000  0.0000  0.7511  0.05
Ni  0.0000  0.0000  0.2489  0.05
V  0.5000  0.5000  0.5000  -0.51

Output
Total moment   0.87 μB/cell
DFT total energy   -27.86 eV/cell
ΔH_f (0 K)   -7 kJ/mol of formula units

Compound: VCo2Ni8
Source: Alexandria via LeMat-Bulk
Functional: PBE-GGA
Structure: optimized geometry

Cell: 4.2214 7.3865 7.3865 Å, 36.69 68.59 68.59°
Site moments in Bohr magnetons follow the coordinates.
Sites, in units of the cell vectors:
V  0.0000  0.0000  0.0000  -0.54
Co  0.2924  0.8172  0.8172  1.61
Co  0.7076  0.1828  0.1828  1.61
Ni  0.6972  0.1550  0.6590  0.41
Ni  0.7953  0.5844  0.5844  0.38
Ni  0.2047  0.4156  0.4156  0.38
Ni  0.1124  0.2606  0.2606  0.75
Ni  0.6972  0.6590  0.1550  0.41
Ni  0.3028  0.3410  0.8450  0.41
Ni  0.8876  0.7394  0.7394  0.75
Ni  0.3028  0.8450  0.3410  0.41

Output
Total moment   6.31 μB/cell
DFT total energy   -68.22 eV/cell
ΔH_f (0 K)   132 kJ/mol of formula units

Compound: V2CoNi
Source: Alexandria via LeMat-Bulk
Functional: PBE-GGA
Structure: optimized geometry

Cell: 3.6461 3.5980 3.5980 Å, 90.00 90.00 90.00°
Sites, in units of the cell vectors:
Ni  0.5000  0.0000  0.0000
V  0.0000  0.5000  0.0000
V  0.0000  0.0000  0.5000
Co  0.5000  0.5000  0.5000

Output
Total moment   0.00 μB/cell
DFT total energy   -31.79 eV/cell
ΔH_f (0 K)   -64 kJ/mol of formula units

Compound: Y2VCoNi
Source: Alexandria via LeMat-Bulk
Functional: PBE-GGA
Structure: optimized geometry

Cell: 5.1349 4.2829 5.1349 Å, 90.00 90.00 90.00°
Site moments in Bohr magnetons follow the coordinates.
Sites, in units of the cell vectors:
Ni  0.0000  0.5000  0.0000  0.52
V  0.5000  0.5000  0.5000  2.80
Y  0.5000  0.0000  0.0000  -0.01
Y  0.0000  0.0000  0.5000  0.01
Co  0.0000  0.0000  0.0000  0.84

Output
Total moment   4.81 μB/cell
DFT total energy   -32.56 eV/cell
ΔH_f (0 K)   229 kJ/mol of formula units

Compound: VZnCoNi
Source: Alexandria via LeMat-Bulk
Functional: PBE-GGA
Structure: optimized geometry

Cell: 4.0768 4.0768 4.0768 Å, 60.00 60.00 60.00°
Site moments in Bohr magnetons follow the coordinates.
Sites, in units of the cell vectors:
V  0.0000  0.0000  0.0000  0.39
Ni  0.2500  0.2500  0.2500  0.43
Co  0.7500  0.7500  0.7500  0.79
Zn  0.5000  0.5000  0.5000  -0.01

Output
Total moment   1.62 μB/cell
DFT total energy   -23.82 eV/cell
ΔH_f (0 K)   -53 kJ/mol of formula units

Compound: VZnCoNi
Source: Alexandria via LeMat-Bulk
Functional: PBE-GGA
Structure: optimized geometry

Cell: 2.6587 2.6587 6.7880 Å, 90.00 90.00 90.00°
Site moments in Bohr magnetons follow the coordinates.
Sites, in units of the cell vectors:
Ni  0.5000  0.5000  0.8193  0.01
V  0.0000  0.0000  0.5611  0.29
Co  0.5000  0.5000  0.3290  0.10
Zn  0.0000  0.0000  0.0753  0.00

Output
Total moment   0.42 μB/cell
DFT total energy   -23.92 eV/cell
ΔH_f (0 K)   -62 kJ/mol of formula units

Compound: ZrVCoNi
Source: Alexandria via LeMat-Bulk
Functional: PBE-GGA
Structure: optimized geometry

Cell: 4.3475 4.3475 4.3475 Å, 60.00 60.00 60.00°
Site moments in Bohr magnetons follow the coordinates.
Sites, in units of the cell vectors:
Zr  0.0000  0.0000  0.0000  -0.01
Co  0.7500  0.7500  0.7500  0.95
V  0.5000  0.5000  0.5000  1.37
Ni  0.2500  0.2500  0.2500  0.32

Output
Total moment   2.76 μB/cell
DFT total energy   -30.92 eV/cell
ΔH_f (0 K)   -35 kJ/mol of formula units

Compound: CoNiW
Source: Alexandria via LeMat-Bulk
Functional: PBE-GGA
Structure: optimized geometry

Cell: 4.4853 4.4853 4.4853 Å, 145.55 132.70 59.82°
Sites, in units of the cell vectors:
Ni  0.3366  0.3366  0.0000
W  0.6655  0.6655  0.0000
Co  0.9979  0.9979  0.0000

Output
Total moment   0.00 μB/cell
DFT total energy   -25.93 eV/cell
ΔH_f (0 K)   -8 kJ/mol of formula units

Compound: Co2Ni12W
Source: Alexandria via LeMat-Bulk
Functional: PBE-GGA
Structure: optimized geometry

Cell: 4.6930 4.6930 18.1465 Å, 90.00 90.00 116.34°
Site moments in Bohr magnetons follow the coordinates.
Sites, in units of the cell vectors:
Ni  0.7500  0.2500  0.1293  0.31
Ni  0.7499  0.2499  0.3972  0.75
Ni  0.5000  0.5000  0.8001  0.65
Ni  0.7500  0.7500  0.9201  0.09
Ni  0.2500  0.7500  0.1293  0.31
Ni  0.5000  0.5000  0.3240  0.72
Ni  0.2500  0.2500  0.9201  0.09
Ni  0.2501  0.7501  0.3972  0.75
Ni  0.0000  0.0000  0.3240  0.72
Ni  0.7501  0.2501  0.6028  0.75
Ni  0.0000  0.0000  0.6760  0.72
Ni  0.0000  0.0000  0.1999  0.65
Ni  0.5000  0.5000  0.6760  0.72
Ni  0.2499  0.2501  0.4384  0.76
Ni  0.7501  0.7499  0.4384  0.76
Ni  0.7500  0.7500  0.0799  0.09
Ni  0.2500  0.2500  0.0799  0.09
Ni  0.0000  0.0000  0.8001  0.65
Ni  0.7499  0.7501  0.5616  0.76
Ni  0.2501  0.2499  0.5616  0.76
Ni  0.7500  0.2500  0.8707  0.31
Ni  0.5000  0.5000  0.1999  0.65
Ni  0.2499  0.7499  0.6028  0.75
Ni  0.2500  0.7500  0.8707  0.31
Co  0.0000  0.5000  0.2646  1.86
Co  0.5000  0.0000  0.7354  1.86
Co  0.5000  0.0000  0.2646  1.86
Co  0.0000  0.5000  0.7354  1.86
W  0.0000  0.5000  0.0000  -0.04
W  0.5000  0.0000  0.0000  -0.04

Output
Total moment   19.51 μB/cell
DFT total energy   -186.56 eV/cell
ΔH_f (0 K)   315 kJ/mol of formula units